Record 1
A geometry-optimized Pm8Ge3Te4Pb structure, computed with PBE-GGA.

Cell lengths 8.8908, 8.8908, 8.8908 Å; angles 59.31, 59.31, 59.31 degrees
Fractional positions:
1 Pm 0.2335 0.7483 0.7483
2 Pm 0.2408 0.2408 0.2408
3 Pm 0.2517 0.2517 0.7665
4 Pm 0.2517 0.7665 0.2517
5 Pm 0.7483 0.2335 0.7483
6 Pm 0.7483 0.7483 0.2335
7 Pm 0.7592 0.7592 0.7592
8 Pm 0.7665 0.2517 0.2517
9 Ge 0.0000 0.0000 0.5000
10 Ge 0.0000 0.5000 0.0000
11 Ge 0.5000 0.0000 0.0000
12 Te 0.0000 0.0000 0.0000
13 Te 0.0000 0.5000 0.5000
14 Te 0.5000 0.0000 0.5000
15 Te 0.5000 0.5000 0.0000
16 Pb 0.5000 0.5000 0.5000

Summary:
Space group = No. 166
Formation energy without anion corrections = -1160 meV/atom

Record 2
A geometry-optimized PmYGePb structure, computed with PBE-GGA.

Cell lengths 7.5494, 7.5494, 7.5494 Å; angles 90.00, 90.00, 90.00 degrees
Fractional positions:
1 Pm 0.0000 0.0000 0.0000
2 Pm 0.0000 0.5000 0.5000
3 Pm 0.5000 0.0000 0.5000
4 Pm 0.5000 0.5000 0.0000
5 Y 0.0000 0.0000 0.5000
6 Y 0.0000 0.5000 0.0000
7 Y 0.5000 0.0000 0.0000
8 Y 0.5000 0.5000 0.5000
9 Ge 0.2500 0.2500 0.2500
10 Ge 0.2500 0.7500 0.7500
11 Ge 0.7500 0.2500 0.7500
12 Ge 0.7500 0.7500 0.2500
13 Pb 0.2500 0.2500 0.7500
14 Pb 0.2500 0.7500 0.2500
15 Pb 0.7500 0.2500 0.2500
16 Pb 0.7500 0.7500 0.7500

Summary:
Space group = No. 216
Electronic total energy = -5.34 eV per atom

Record 3
A geometry-optimized Pr4GePb structure, computed with PBE-GGA.

Cell lengths 8.4585, 8.4585, 6.2469 Å; angles 101.44, 101.44, 115.20 degrees
Fractional positions:
1 Pr 0.0712 0.7094 0.9343
2 Pr 0.2139 0.3731 0.6505
3 Pr 0.2906 0.9288 0.5657
4 Pr 0.3731 0.2139 0.1505
5 Pr 0.6269 0.7861 0.8495
6 Pr 0.7094 0.0712 0.4343
7 Pr 0.7861 0.6269 0.3495
8 Pr 0.9288 0.2906 0.0657
9 Ge 0.0012 0.9988 0.2500
10 Ge 0.9988 0.0012 0.7500
11 Pb 0.3791 0.6209 0.2500
12 Pb 0.6209 0.3791 0.7500

Summary:
Space group = No. 15
Electronic total energy = -5.06 eV per atom

Record 4
A geometry-optimized Pr3Ge2Pb structure, computed with PBE-GGA.

Cell lengths 4.0923, 17.2029, 4.8221 Å; angles 90.00, 90.00, 90.00 degrees
Fractional positions:
1 Pr 0.0000 0.0000 0.0000
2 Pr 0.0000 0.1654 0.5000
3 Pr 0.0000 0.8346 0.5000
4 Pr 0.5000 0.3346 0.5000
5 Pr 0.5000 0.5000 0.0000
6 Pr 0.5000 0.6654 0.5000
7 Ge 0.0000 0.3046 0.0000
8 Ge 0.0000 0.6954 0.0000
9 Ge 0.5000 0.1954 0.0000
10 Ge 0.5000 0.8046 0.0000
11 Pb 0.0000 0.5000 0.5000
12 Pb 0.5000 0.0000 0.5000

Summary:
Space group = No. 65
Electronic total energy = -5.11 eV per atom

Record 5
A geometry-optimized Pr4Ge2Pb structure, computed with PBE-GGA.

Cell lengths 8.4883, 8.4883, 8.4883 Å; angles 109.24, 109.24, 109.93 degrees
Fractional positions:
1 Pr 0.2034 0.2736 0.5702
2 Pr 0.2034 0.6332 0.9298
3 Pr 0.2736 0.2034 0.0702
4 Pr 0.3668 0.7966 0.5702
5 Pr 0.6332 0.2034 0.4298
6 Pr 0.7264 0.7966 0.9298
7 Pr 0.7966 0.3668 0.0702
8 Pr 0.7966 0.7264 0.4298
9 Ge 0.0000 0.5000 0.5000
10 Ge 0.5000 0.0000 0.0000
11 Ge 0.5000 0.5000 0.0000
12 Ge 0.5000 0.5000 0.5000
13 Pb 0.1250 0.8750 0.2500
14 Pb 0.8750 0.1250 0.7500

Summary:
Space group = No. 141
Electronic total energy = -5.15 eV per atom

Record 6
A geometry-optimized Pr3GePb2 structure, computed with PBE-GGA.

Cell lengths 13.1286, 4.5393, 12.4740 Å; angles 90.00, 90.00, 90.00 degrees
Fractional positions:
1 Pr 0.0559 0.2500 0.1187
2 Pr 0.1129 0.7500 0.5474
3 Pr 0.2397 0.2500 0.7862
4 Pr 0.2603 0.7500 0.2862
5 Pr 0.3871 0.2500 0.0474
6 Pr 0.4441 0.7500 0.6187
7 Pr 0.5559 0.2500 0.3813
8 Pr 0.6129 0.7500 0.9526
9 Pr 0.7397 0.2500 0.7138
10 Pr 0.7603 0.7500 0.2138
11 Pr 0.8871 0.2500 0.4526
12 Pr 0.9441 0.7500 0.8813
13 Ge 0.1250 0.2500 0.3718
14 Ge 0.3750 0.7500 0.8718
15 Ge 0.6250 0.2500 0.1282
16 Ge 0.8750 0.7500 0.6282
17 Pb 0.0074 0.2500 0.7071
18 Pb 0.1904 0.7500 0.0024
19 Pb 0.3096 0.2500 0.5024
20 Pb 0.4926 0.7500 0.2072
21 Pb 0.5074 0.2500 0.7929
22 Pb 0.6904 0.7500 0.4976
23 Pb 0.8096 0.2500 0.9976
24 Pb 0.9926 0.7500 0.2928

Summary:
Space group = No. 62
Electronic total energy = -4.96 eV per atom